(1)
Entry from Alexandria via LeMat-Bulk: a geometry-optimized ZnCr2Cu structure (GGA-PBE).

Cell lengths 2.4625, 3.8249, 5.2892 Å; angles 90.00, 90.00, 90.00 degrees
Sites, in units of the cell vectors:
Zn1 0.0000 0.0000 0.0000
Cr1 0.0000 0.0000 0.4955
Cr2 0.5000 0.5000 0.2754
Cu1 0.5000 0.5000 0.7657

## Properties
Calculated total energy   -23.59 eV/cell
Total moment   0.0 μB/f.u.
Formation energy   0.2569 eV/atom
Space-group type   Pmm2, No. 25

***

(2)
Entry from Alexandria via LeMat-Bulk: a geometry-optimized TiSnIr2 structure (GGA-PBE).

Cell lengths 4.1643, 4.1643, 3.7414 Å; angles 90.00, 90.00, 90.00 degrees
Sites, in units of the cell vectors:
Ti1 0.0000 0.0000 0.0000
Sn1 0.5000 0.5000 0.0000
Ir1 0.0000 0.5000 0.5000
Ir2 0.5000 0.0000 0.5000

## Properties
Calculated total energy   -31.47 eV/cell
Total moment   0.0 μB/f.u.
Formation energy   -0.4636 eV/atom
Space-group type   P4/mmm, No. 123

***

(3)
Entry from Alexandria via LeMat-Bulk: a geometry-optimized NpPaAs2 structure (GGA-PBE).

Cell lengths 3.9053, 5.3644, 10.2009 Å; angles 90.00, 90.00, 90.00 degrees
Sites, in units of the cell vectors:
Np1 0.2500 0.2500 0.1321
Np2 0.7500 0.7500 0.8679
Pa1 0.2500 0.7500 0.3668
Pa2 0.7500 0.2500 0.6332
As1 0.2500 0.2500 0.4222
As2 0.2500 0.2500 0.8471
As3 0.7500 0.7500 0.1529
As4 0.7500 0.7500 0.5778

## Properties
Calculated total energy   -67.02 eV/cell
Total moment   6.0 μB/f.u.
Formation energy   -0.4433 eV/atom
Space-group type   Pmmn, No. 59
Distance to the lowest polymorph of the same formula   437 meV per atom

***

(4)
Entry from Alexandria via LeMat-Bulk: a geometry-optimized MgIn3Ge structure (GGA-PBE).

Cell lengths 5.3872, 5.3872, 5.3872 Å; angles 90.00, 90.00, 90.00 degrees
Sites, in units of the cell vectors:
Mg1 0.0000 0.0000 0.0000
In1 0.0000 0.0000 0.5000
In2 0.0000 0.5000 0.0000
In3 0.5000 0.0000 0.0000
Ge1 0.5000 0.5000 0.5000

## Properties
Calculated total energy   -11.45 eV/cell
Total moment   0.0 μB/f.u.
Formation energy   0.5946 eV/atom
Space-group type   Pm-3m, No. 221
Distance to the lowest polymorph of the same formula   216 meV per atom

***

(5)
Entry from Alexandria via LeMat-Bulk: a geometry-optimized FeTcPb2 structure (GGA-PBE).

Cell lengths 8.8595, 8.8595, 8.8595 Å; angles 21.24, 21.24, 21.24 degrees
Sites, in units of the cell vectors:
Fe1 0.0000 0.0000 0.0000
Tc1 0.5000 0.5000 0.5000
Pb1 0.2494 0.2494 0.2494
Pb2 0.7506 0.7506 0.7506

## Properties
Calculated total energy   -23.21 eV/cell
Total moment   3.2 μB/f.u.
Formation energy   0.7595 eV/atom
Space-group type   R-3m, No. 166
Distance to the lowest polymorph of the same formula   411 meV per atom

***

(6)
Entry from Alexandria via LeMat-Bulk: a geometry-optimized Ti8ZnSn2 structure (GGA-PBE).

Cell lengths 7.8650, 7.8650, 7.8650 Å; angles 145.72, 133.19, 59.29 degrees
Sites, in units of the cell vectors:
Ti1 0.1281 0.3597 0.7684
Ti2 0.1748 0.1748 0.0000
Ti3 0.2546 0.0000 0.2546
Ti4 0.4086 0.6403 0.7684
Ti5 0.5914 0.3597 0.2316
Ti6 0.7454 0.0000 0.7454
Ti7 0.8252 0.8252 0.0000
Ti8 0.8719 0.6403 0.2316
Zn1 0.0000 0.5000 0.5000
Sn1 0.3135 0.8135 0.5000
Sn2 0.6865 0.1865 0.5000

## Properties
Calculated total energy   -73.85 eV/cell
Total moment   0.0 μB/f.u.
Formation energy   -0.1283 eV/atom
Space-group type   Immm, No. 71